Compound: LaEuGe4
Source: Alexandria via LeMat-Bulk
Functional: GGA-PBE
Structure: optimized geometry

Geometry as POSCAR:
```
LaEuGe4
1.0
0.000 4.081 4.081
4.081 0.000 4.081
4.081 4.081 0.000
La Eu Ge
1 1 4
Cartesian
0.000 0.000 0.000
2.040 2.040 2.040
5.101 3.061 3.061
3.061 5.101 3.061
3.061 3.061 5.101
5.101 5.101 5.101
```

Output
* formation energy from the elements: -0.45 eV/atom
* V: 135.92 Å³/cell